(1)
VASP calculation (PBE-GGA) on a geometry-optimized MnAl2Zn structure.

Unit cell a=2.744 b=2.744 c=7.714 alpha=90.00 beta=90.00 gamma=90.00
Fractional coordinates of all 4 atoms:
Mn1 0.000 0.000 0.000
Al1 0.500 0.500 0.225
Al2 0.500 0.500 0.775
Zn1 0.000 0.000 0.500

Values from the calculation:
* space group: No. 123
* energy of formation from the pure elements: -2.28 kcal/mol of atoms


(2)
VASP calculation (PBE-GGA) on a geometry-optimized Tb2Y2Er15 structure.

Unit cell a=8.658 b=8.658 c=8.658 alpha=79.65 beta=79.65 gamma=79.65
Fractional coordinates of all 19 atoms:
Tb1 0.176 0.176 0.176
Tb2 0.824 0.824 0.824
Y1 0.401 0.401 0.401
Y2 0.599 0.599 0.599
Er1 0.000 0.500 0.500
Er2 0.131 0.131 0.648
Er3 0.131 0.648 0.131
Er4 0.200 0.500 0.800
Er5 0.200 0.800 0.500
Er6 0.352 0.869 0.869
Er7 0.500 0.000 0.500
Er8 0.500 0.200 0.800
Er9 0.500 0.500 0.000
Er10 0.500 0.800 0.200
Er11 0.648 0.131 0.131
Er12 0.800 0.200 0.500
Er13 0.800 0.500 0.200
Er14 0.869 0.352 0.869
Er15 0.869 0.869 0.352

Values from the calculation:
* space group: No. 166
* energy of formation from the pure elements: 6.65 kcal/mol of atoms


(3)
VASP calculation (PBE-GGA) on a geometry-optimized AlCo2GeS structure.

Unit cell a=4.124 b=4.124 c=4.773 alpha=90.00 beta=90.00 gamma=90.00
Fractional coordinates of all 5 atoms:
Al1 0.000 0.000 0.000
Co1 0.000 0.500 0.500
Co2 0.500 0.000 0.500
Ge1 0.500 0.500 0.000
S1 0.000 0.000 0.500

Values from the calculation:
* formation energy from raw total energies: 180 kJ/mol of formula units
* space group: No. 123


(4)
VASP calculation (PBE-GGA) on a geometry-optimized Na2TlTe3 structure.

Unit cell a=7.355 b=7.355 c=9.036 alpha=90.00 beta=90.00 gamma=75.86
Fractional coordinates of all 12 atoms:
Na1 0.233 0.233 0.000
Na2 0.233 0.233 0.500
Na3 0.767 0.767 0.000
Na4 0.767 0.767 0.500
Tl1 0.220 0.780 0.750
Tl2 0.780 0.220 0.250
Te1 0.012 0.504 0.250
Te2 0.145 0.855 0.250
Te3 0.496 0.988 0.250
Te4 0.504 0.012 0.750
Te5 0.855 0.145 0.750
Te6 0.988 0.496 0.750

Values from the calculation:
* formation energy from raw total energies: -249 kJ/mol of formula units
* space group: No. 63


(5)
VASP calculation (PBE-GGA) on a geometry-optimized YTlCd2 structure.

Unit cell a=4.404 b=4.674 c=4.843 alpha=90.00 beta=90.00 gamma=90.00
Fractional coordinates of all 4 atoms:
Y1 0.000 0.000 0.000
Tl1 0.500 0.500 0.000
Cd1 0.000 0.500 0.500
Cd2 0.500 0.000 0.500

Values from the calculation:
* space group: No. 47
* energy of formation from the pure elements: -6.30 kcal/mol of atoms


(6)
VASP calculation (PBE-GGA) on a geometry-optimized BaTa2TcSe structure.

Unit cell a=5.089 b=5.089 c=5.432 alpha=90.00 beta=90.00 gamma=90.00
Fractional coordinates of all 5 atoms:
Ba1 0.000 0.000 0.000
Ta1 0.000 0.500 0.000
Ta2 0.500 0.000 0.000
Tc1 0.500 0.500 0.500
Se1 0.000 0.000 0.500

Values from the calculation:
* formation energy from raw total energies: 1577 kJ/mol of formula units
* space group: No. 123


(7)
VASP calculation (PBE-GGA) on a geometry-optimized DyHoInCu structure.

Unit cell a=5.150 b=5.150 c=5.150 alpha=60.00 beta=60.00 gamma=60.00
Fractional coordinates of all 4 atoms:
Dy1 0.000 0.000 0.000
Ho1 0.500 0.500 0.500
In1 0.250 0.250 0.250
Cu1 0.750 0.750 0.750

Values from the calculation:
* space group: No. 216
* energy of formation from the pure elements: -7.18 kcal/mol of atoms


(8)
VASP calculation (PBE-GGA) on a geometry-optimized LiHfCr3 structure.

Unit cell a=4.118 b=4.118 c=4.118 alpha=90.00 beta=90.00 gamma=90.00
Fractional coordinates of all 5 atoms:
Li1 0.000 0.000 0.000
Hf1 0.500 0.500 0.500
Cr1 0.000 0.000 0.500
Cr2 0.000 0.500 0.000
Cr3 0.500 0.000 0.000

Values from the calculation:
* space group: No. 221
* energy of formation from the pure elements: 27.36 kcal/mol of atoms


(9)
VASP calculation (PBE-GGA) on a geometry-optimized Tb14ScHg structure.

Unit cell a=10.771 b=6.866 c=6.866 alpha=76.06 beta=90.00 gamma=90.00
Fractional coordinates of all 16 atoms:
Tb1 0.000 0.000 0.000
Tb2 0.000 0.444 0.444
Tb3 0.000 0.526 0.927
Tb4 0.000 0.927 0.526
Tb5 0.230 0.221 0.221
Tb6 0.263 0.299 0.714
Tb7 0.263 0.714 0.299
Tb8 0.279 0.792 0.792
Tb9 0.500 0.079 0.494
Tb10 0.500 0.494 0.079
Tb11 0.721 0.792 0.792
Tb12 0.737 0.299 0.714
Tb13 0.737 0.714 0.299
Tb14 0.770 0.221 0.221
Sc1 0.500 0.015 0.015
Hg1 0.500 0.576 0.576

Values from the calculation:
* space group: No. 38
* energy of formation from the pure elements: -0.15 kcal/mol of atoms


(10)
VASP calculation (PBE-GGA) on a geometry-optimized ZnInNi structure.

Unit cell a=4.228 b=4.228 c=4.228 alpha=60.00 beta=60.00 gamma=60.00
Fractional coordinates of all 3 atoms:
Zn1 0.000 0.000 0.000
In1 0.500 0.500 0.500
Ni1 0.750 0.750 0.750

Values from the calculation:
* space group: No. 216
* energy of formation from the pure elements: -1.13 kcal/mol of atoms


(11)
VASP calculation (PBE-GGA) on a geometry-optimized Sr2PaBeSe5 structure.

Unit cell a=9.316 b=9.316 c=12.993 alpha=90.00 beta=90.00 gamma=154.62
Fractional coordinates of all 18 atoms:
Sr1 0.113 0.887 0.500
Sr2 0.117 0.883 0.853
Sr3 0.883 0.117 0.353
Sr4 0.887 0.113 0.000
Pa1 0.194 0.806 0.187
Pa2 0.806 0.194 0.687
Be1 0.436 0.564 0.580
Be2 0.564 0.436 0.080
Se1 0.040 0.960 0.171
Se2 0.303 0.697 0.841
Se3 0.313 0.687 0.531
Se4 0.348 0.652 0.176
Se5 0.496 0.504 0.434
Se6 0.504 0.496 0.934
Se7 0.652 0.348 0.676
Se8 0.687 0.313 0.031
Se9 0.697 0.303 0.341
Se10 0.960 0.040 0.671

Values from the calculation:
* formation energy from raw total energies: -1312 kJ/mol of formula units
* space group: No. 36


(12)
VASP calculation (PBE-GGA) on a geometry-optimized AcNdMg structure.

Unit cell a=12.121 b=3.683 c=9.914 alpha=90.00 beta=90.00 gamma=90.00
Fractional coordinates of all 12 atoms:
Ac1 0.133 0.250 0.046
Ac2 0.367 0.750 0.546
Ac3 0.633 0.250 0.454
Ac4 0.867 0.750 0.954
Nd1 0.116 0.250 0.438
Nd2 0.384 0.750 0.938
Nd3 0.616 0.250 0.062
Nd4 0.884 0.750 0.562
Mg1 0.124 0.750 0.739
Mg2 0.376 0.250 0.239
Mg3 0.624 0.750 0.761
Mg4 0.876 0.250 0.261

Values from the calculation:
* space group: No. 62
* energy of formation from the pure elements: 3.96 kcal/mol of atoms


Copy entry 12 word for word.
VASP calculation (PBE-GGA) on a geometry-optimized AcNdMg structure.

Unit cell a=12.121 b=3.683 c=9.914 alpha=90.00 beta=90.00 gamma=90.00
Fractional coordinates of all 12 atoms:
Ac1 0.133 0.250 0.046
Ac2 0.367 0.750 0.546
Ac3 0.633 0.250 0.454
Ac4 0.867 0.750 0.954
Nd1 0.116 0.250 0.438
Nd2 0.384 0.750 0.938
Nd3 0.616 0.250 0.062
Nd4 0.884 0.750 0.562
Mg1 0.124 0.750 0.739
Mg2 0.376 0.250 0.239
Mg3 0.624 0.750 0.761
Mg4 0.876 0.250 0.261

Values from the calculation:
* space group: No. 62
* energy of formation from the pure elements: 3.96 kcal/mol of atoms